TlIn2O | PBE | relaxed

Cell lengths 5.0384, 5.0384, 5.0384 Å; angles 60.00, 60.00, 60.00 degrees
Element x y z (fractional)
Tl  0.0000  0.0000  0.0000
In  0.2500  0.2500  0.2500
In  0.7500  0.7500  0.7500
O  0.5000  0.5000  0.5000

Calculated values
E above lowest polymorph	543	meV/atom
formation energy without anion corrections	0.140	eV/atom
space-group type	Fm-3m

***

Hf4Br | PBE | relaxed

Cell lengths 4.9054, 4.9054, 4.9054 Å; angles 90.00, 90.00, 90.00 degrees
Element x y z (fractional)
Hf  0.0000  0.0000  0.0000
Hf  0.0000  0.5000  0.5000
Hf  0.5000  0.0000  0.5000
Hf  0.5000  0.5000  0.0000
Br  0.5000  0.5000  0.5000

Calculated values
formation energy without anion corrections	0.501	eV/atom
space-group type	Pm-3m

***

KBe2Os | PBE | relaxed

Cell lengths 9.5643, 9.5643, 9.5643 Å; angles 16.68, 16.68, 16.68 degrees
Element x y z (fractional)
K  0.0000  0.0000  0.0000
Be  0.2307  0.2307  0.2307
Be  0.7693  0.7693  0.7693
Os  0.5000  0.5000  0.5000

Calculated values
E above lowest polymorph	415	meV/atom
space-group type	R-3m
energy of formation	0.730	eV per atom

***

Sm5Y8Sc | PBE | relaxed

Cell lengths 8.5035, 8.5035, 9.0085 Å; angles 121.82, 121.82, 81.63 degrees
Element x y z (fractional)
Sm  0.0000  0.0000  0.0000
Sm  0.3266  0.3293  0.6144
Sm  0.4890  0.1037  0.8662
Sm  0.6707  0.6734  0.3856
Sm  0.8963  0.5110  0.1338
Y  0.1027  0.4949  0.8686
Y  0.1571  0.7139  0.6496
Y  0.2861  0.8429  0.3504
Y  0.3433  0.3452  0.2350
Y  0.5051  0.8973  0.1314
Y  0.6548  0.6567  0.7650
Y  0.7143  0.1626  0.6487
Y  0.8374  0.2857  0.3513
Sc  0.9993  0.0007  0.5000

Calculated values
space-group type	C2
energy of formation	0.176	eV per atom

***

UVS4 | PBE | relaxed

Cell lengths 6.1074, 3.7654, 6.3473 Å; angles 90.00, 90.16, 90.00 degrees
Element x y z (fractional)
U  0.0000  0.0000  0.0000
V  0.5000  0.5000  0.0000
S  0.1830  0.5000  0.2278
S  0.3535  0.0000  0.7863
S  0.6465  0.0000  0.2137
S  0.8170  0.5000  0.7722

Calculated values
formation energy without anion corrections	-1.091	eV/atom
space-group type	P2/m

***

PuSc2Al | PBE | relaxed

Cell lengths 3.2198, 3.2198, 8.5267 Å; angles 90.00, 90.00, 90.00 degrees
Element x y z (fractional)
Pu  0.0000  0.0000  0.0000
Sc  0.5000  0.5000  0.2797
Sc  0.5000  0.5000  0.7203
Al  0.0000  0.0000  0.5000

Calculated values
E above lowest polymorph	8	meV/atom
space-group type	P4/mmm
energy of formation	-0.170	eV per atom

***

MgSc2Br | PBE | relaxed

Cell lengths 3.3706, 4.7408, 6.0561 Å; angles 90.00, 105.47, 90.00 degrees
Element x y z (fractional)
Mg  0.0000  0.0000  0.0000
Sc  0.3484  0.5000  0.7393
Sc  0.6516  0.5000  0.2607
Br  0.0000  0.0000  0.5000

Calculated values
E above lowest polymorph	160	meV/atom
formation energy without anion corrections	-0.246	eV/atom
space-group type	P2/m

***

TaSb3Ir | PBE | relaxed

Cell lengths 5.2497, 5.2497, 5.2497 Å; angles 90.00, 90.00, 90.00 degrees
Element x y z (fractional)
Ta  0.0000  0.0000  0.0000
Sb  0.0000  0.0000  0.5000
Sb  0.0000  0.5000  0.0000
Sb  0.5000  0.0000  0.0000
Ir  0.5000  0.5000  0.5000

Calculated values
E above lowest polymorph	98	meV/atom
formation energy without anion corrections	1.221	eV/atom
space-group type	Pm-3m

***

CsTaGe2 | PBE | relaxed

Cell lengths 8.7984, 8.7984, 8.7984 Å; angles 135.64, 135.64, 64.54 degrees
Element x y z (fractional)
Cs  0.3750  0.6250  0.7500
Cs  0.6250  0.3750  0.2500
Ta  0.1250  0.8750  0.2500
Ta  0.8750  0.1250  0.7500
Ge  0.0000  0.0000  0.0000
Ge  0.0000  0.0000  0.5000
Ge  0.0000  0.5000  0.0000
Ge  0.5000  0.0000  0.5000

Calculated values
E above lowest polymorph	0	meV/atom
space-group type	I4_1/amd
energy of formation	0.361	eV per atom

***

Pm5Nd4Sm | PBE | relaxed

Cell lengths 8.9955, 8.9955, 11.2959 Å; angles 90.05, 90.05, 23.16 degrees
Element x y z (fractional)
Pm  0.0000  0.0000  0.0000
Pm  0.3262  0.3262  0.0551
Pm  0.3264  0.3264  0.4456
Pm  0.6736  0.6736  0.5544
Pm  0.6738  0.6738  0.9449
Nd  0.1528  0.1528  0.2495
Nd  0.4710  0.4710  0.2503
Nd  0.5290  0.5290  0.7497
Nd  0.8472  0.8472  0.7505
Sm  0.0000  0.0000  0.5000

Calculated values
E above lowest polymorph	0	meV/atom
space-group type	C2/m
energy of formation	0.170	eV per atom

***

Tb3CrPt12 | PBE | relaxed

Cell lengths 4.0787, 4.0787, 16.3237 Å; angles 90.00, 90.00, 90.00 degrees
Element x y z (fractional)
Tb  0.0000  0.0000  0.0000
Tb  0.0000  0.0000  0.2547
Tb  0.0000  0.0000  0.7453
Cr  0.0000  0.0000  0.5000
Pt  0.0000  0.5000  0.1281
Pt  0.0000  0.5000  0.3862
Pt  0.0000  0.5000  0.6138
Pt  0.0000  0.5000  0.8719
Pt  0.5000  0.0000  0.1281
Pt  0.5000  0.0000  0.3862
Pt  0.5000  0.0000  0.6138
Pt  0.5000  0.0000  0.8719
Pt  0.5000  0.5000  0.0000
Pt  0.5000  0.5000  0.2572
Pt  0.5000  0.5000  0.5000
Pt  0.5000  0.5000  0.7428

Calculated values
space-group type	P4/mmm
energy of formation	-0.806	eV per atom

***

TbSm2HoTm | PBE | relaxed

Cell lengths 7.0964, 7.0964, 7.2325 Å; angles 90.00, 90.00, 107.52 degrees
Element x y z (fractional)
Tb  0.2258  0.7742  0.7500
Tb  0.7742  0.2258  0.2500
Sm  0.1937  0.1937  0.0000
Sm  0.1937  0.1937  0.5000
Sm  0.8063  0.8063  0.0000
Sm  0.8063  0.8063  0.5000
Ho  0.2276  0.7724  0.2500
Ho  0.7724  0.2276  0.7500
Tm  0.4976  0.5024  0.7500
Tm  0.5024  0.4976  0.2500

Calculated values
space-group type	Cmcm
energy of formation	0.410	eV per atom

***

BaTaRe | PBE | relaxed

Cell lengths 4.6792, 4.6792, 4.6792 Å; angles 60.00, 60.00, 60.00 degrees
Element x y z (fractional)
Ba  0.0000  0.0000  0.0000
Ta  0.7500  0.7500  0.7500
Re  0.2500  0.2500  0.2500

Calculated values
E above lowest polymorph	2152	meV/atom
space-group type	F-43m
energy of formation	2.756	eV per atom

***

Er3Zn2Rh6 | PBE | relaxed

Cell lengths 8.0540, 8.0540, 8.0540 Å; angles 109.47, 109.47, 109.47 degrees
Element x y z (fractional)
Er  0.0000  0.2926  0.2926
Er  0.0000  0.7074  0.7074
Er  0.2926  0.0000  0.2926
Er  0.2926  0.2926  0.0000
Er  0.7074  0.0000  0.7074
Er  0.7074  0.7074  0.0000
Zn  0.0000  0.0000  0.5000
Zn  0.0000  0.5000  0.0000
Zn  0.5000  0.0000  0.0000
Zn  0.5000  0.5000  0.5000
Rh  0.0000  0.3440  0.6560
Rh  0.0000  0.6560  0.3440
Rh  0.3119  0.6560  0.6560
Rh  0.3440  0.0000  0.6560
Rh  0.3440  0.3440  0.6881
Rh  0.3440  0.6560  0.0000
Rh  0.3440  0.6881  0.3440
Rh  0.6560  0.0000  0.3440
Rh  0.6560  0.3119  0.6560
Rh  0.6560  0.3440  0.0000
Rh  0.6560  0.6560  0.3119
Rh  0.6881  0.3440  0.3440

Calculated values
space-group type	Im-3m
energy of formation	-0.576	eV per atom

***

Rb2LiSeI6 | PBE | relaxed

Cell lengths 8.4819, 8.4819, 8.4819 Å; angles 121.20, 121.20, 87.93 degrees
Element x y z (fractional)
Rb  0.2500  0.7500  0.5000
Rb  0.7500  0.2500  0.5000
Li  0.0000  0.0000  0.0000
Se  0.5000  0.5000  0.0000
I  0.2247  0.2247  0.0000
I  0.2624  0.2624  0.5248
I  0.2624  0.7376  0.0000
I  0.7376  0.2624  0.0000
I  0.7376  0.7376  0.4752
I  0.7753  0.7753  0.0000

Calculated values
formation energy without anion corrections	-0.741	eV/atom
space-group type	I4/mmm

***

MgHgBi2 | PBE | relaxed

Cell lengths 8.2212, 8.2212, 8.2212 Å; angles 131.47, 131.47, 71.07 degrees
Element x y z (fractional)
Mg  0.0000  0.0000  0.0000
Mg  0.7500  0.2500  0.5000
Hg  0.2500  0.7500  0.5000
Hg  0.5000  0.5000  0.0000
Bi  0.1254  0.6250  0.0004
Bi  0.3750  0.3754  0.5004
Bi  0.6246  0.1250  0.9996
Bi  0.8750  0.8746  0.4996

Calculated values
E above lowest polymorph	271	meV/atom
space-group type	I-42d
energy of formation	0.236	eV per atom

***

K2ZrW | PBE | relaxed

Cell lengths 13.3809, 13.3809, 13.3809 Å; angles 12.84, 12.84, 12.84 degrees
Element x y z (fractional)
K  0.2439  0.2439  0.2439
K  0.7561  0.7561  0.7561
Zr  0.0000  0.0000  0.0000
W  0.5000  0.5000  0.5000

Calculated values
E above lowest polymorph	467	meV/atom
space-group type	R-3m
energy of formation	1.308	eV per atom

***

ZrTiZnAg | PBE | relaxed

Cell lengths 4.6977, 4.6977, 4.6977 Å; angles 60.00, 60.00, 60.00 degrees
Element x y z (fractional)
Zr  0.0000  0.0000  0.0000
Ti  0.5000  0.5000  0.5000
Zn  0.7500  0.7500  0.7500
Ag  0.2500  0.2500  0.2500

Calculated values
space-group type	F-43m
energy of formation	-0.020	eV per atom

***

Mg2MnS4 | PBE | relaxed

Cell lengths 6.0951, 6.0951, 14.7728 Å; angles 90.00, 90.00, 148.61 degrees
Element x y z (fractional)
Mg  0.0756  0.9244  0.6046
Mg  0.0756  0.9244  0.8954
Mg  0.9244  0.0756  0.1046
Mg  0.9244  0.0756  0.3954
Mn  0.3114  0.6886  0.7500
Mn  0.6886  0.3114  0.2500
S  0.0375  0.9625  0.2500
S  0.2581  0.7419  0.1435
S  0.2581  0.7419  0.3565
S  0.5000  0.5000  0.0000
S  0.5000  0.5000  0.5000
S  0.7419  0.2581  0.6435
S  0.7419  0.2581  0.8565
S  0.9625  0.0375  0.7500

Calculated values
formation energy without anion corrections	-0.763	eV/atom
space-group type	Cmcm

***

AlCr2 | PBE | relaxed

Cell lengths 11.0588, 11.0588, 11.0588 Å; angles 165.93, 165.93, 19.94 degrees
Element x y z (fractional)
Al  0.3750  0.6250  0.7500
Al  0.6250  0.3750  0.2500
Cr  0.0396  0.7896  0.2500
Cr  0.2104  0.9604  0.2500
Cr  0.7896  0.0396  0.7500
Cr  0.9604  0.2104  0.7500

Calculated values
space-group type	I4_1/amd
energy of formation	0.310	eV per atom

***

Ho2SiS4 | PBE | relaxed

Cell lengths 7.1991, 7.1991, 7.1991 Å; angles 130.03, 130.03, 73.36 degrees
Element x y z (fractional)
Ho  0.2500  0.7500  0.5000
Ho  0.7500  0.2500  0.5000
Si  0.0000  0.0000  0.0000
S  0.1124  0.6427  0.0000
S  0.3573  0.3573  0.4697
S  0.6427  0.1124  0.0000
S  0.8876  0.8876  0.5303

Calculated values
formation energy without anion corrections	-1.123	eV/atom
space-group type	I-42m

***

Ti2Co6Ir | PBE | relaxed

Cell lengths 4.6495, 4.6495, 6.3019 Å; angles 104.74, 104.74, 61.18 degrees
Element x y z (fractional)
Ti  0.1820  0.1820  0.1193
Ti  0.8180  0.8180  0.8807
Co  0.1784  0.7081  0.3102
Co  0.2817  0.2817  0.5690
Co  0.2919  0.8216  0.6898
Co  0.7081  0.1784  0.3102
Co  0.7183  0.7183  0.4310
Co  0.8216  0.2919  0.6898
Ir  0.5000  0.5000  0.0000

Calculated values
space-group type	C2/m
energy of formation	-0.145	eV per atom

***

SrDy2Ga | PBE | relaxed

Cell lengths 3.6542, 3.6542, 9.5453 Å; angles 90.00, 90.00, 90.00 degrees
Element x y z (fractional)
Sr  0.0000  0.0000  0.0000
Dy  0.5000  0.5000  0.3221
Dy  0.5000  0.5000  0.6779
Ga  0.0000  0.0000  0.5000

Calculated values
E above lowest polymorph	0	meV/atom
space-group type	P4/mmm
energy of formation	-0.182	eV per atom

***

Tl3TcW | PBE | relaxed

Cell lengths 5.3600, 5.3600, 5.3600 Å; angles 90.00, 90.00, 90.00 degrees
Element x y z (fractional)
Tl  0.0000  0.0000  0.5000
Tl  0.0000  0.5000  0.0000
Tl  0.5000  0.0000  0.0000
Tc  0.5000  0.5000  0.5000
W  0.0000  0.0000  0.0000

Calculated values
E above lowest polymorph	25	meV/atom
space-group type	Pm-3m
energy of formation	1.669	eV per atom

***

Ba2CoBH | PBE | relaxed

Cell lengths 5.6627, 5.6627, 3.8729 Å; angles 90.00, 90.00, 90.00 degrees
Element x y z (fractional)
Ba  0.0000  0.5000  0.0000
Ba  0.5000  0.0000  0.0000
Co  0.0000  0.0000  0.0000
B  0.0000  0.0000  0.5000
H  0.5000  0.5000  0.5000

Calculated values
total energy	-3.9745	eV/atom
space-group type	P4/mmm